# 1
Entry from the Alexandria database: an optimized crystal structure of AcScSn3 (PBE).

The total moment is 0.00 μB/f.u. The calculation puts the total energy at -5.084 eV per atom. The formation energy is -595 meV per atom. The value obtained for the energy above the most stable polymorph in this dataset is 0.000 eV/atom.

It has space group P6_3/mmc (No. 194), with a = 7.1144 Å, b = 7.1144 Å, c = 6.5766 Å, α = 90.00°, β = 90.00° and γ = 120.00°. Symmetry generates all atoms from Ac at (0.3333, 0.6667, 0.2500), Sc at (0.0000, 0.0000, 0.0000) and Sn at (0.1955, 0.3910, 0.7500).

# 2
Entry from the Alexandria database: an optimized crystal structure of AcSc2Sn (PBE).

The total moment is 0.20 μB/f.u. The calculation puts the total energy at -5.452 eV per atom. The formation energy is -259 meV per atom. The value obtained for the energy above the most stable polymorph in this dataset is 0.000 eV/atom.

It has space group P4/mmm (No. 123), with a = 4.878 Å, b = 4.878 Å, c = 4.672 Å, α = 90.00°, β = 90.00° and γ = 90.00°. Symmetry generates all atoms from Ac at (0.000, 0.000, 0.000), Sc at (0.000, 0.500, 0.500) and Sn at (0.500, 0.500, 0.000).

# 3
Entry from the Alexandria database: an optimized crystal structure of Ac2ScSn (PBE).

The total moment is 0.00 μB/f.u. The calculation puts the total energy at -4.875 eV per atom. The formation energy is -237 meV per atom. The value obtained for the energy above the most stable polymorph in this dataset is 0.036 eV/atom.

It has space group P4/mmm (No. 123), with a = 4.374 Å, b = 4.374 Å, c = 7.177 Å, α = 90.00°, β = 90.00° and γ = 90.00°. Symmetry generates all atoms from Ac at (0.000, 0.000, 0.237), Sc at (0.500, 0.500, 0.500) and Sn at (0.500, 0.500, 0.000).